{"formula": "Tb2Dy5Tm", "functional": "PBE", "state": "optimized geometry", "magmom_total_mub_per_fu": 0.0, "ef_ev_per_atom": 0.1848, "e_above_lowest_polymorph_mev_per_atom": 169, "total_energy_ev_per_atom": -4.4080, "lattice_angstrom": [[-7.296, -3.425, 3.592], [13.091, 1.829, -9.616], [6.076, -5.333, 7.257]], "species": ["Tb", "Tb", "Tb", "Tb", "Tm", "Tm", "Dy", "Dy", "Dy", "Dy", "Dy", "Dy", "Dy", "Dy", "Dy", "Dy"], "fractional_positions": [[0.252, 0.398, 0.889], [0.748, 0.602, 0.111], [0.252, 0.398, 0.611], [0.748, 0.602, 0.389], [0.708, 0.172, 0.250], [0.292, 0.828, 0.750], [0.665, 0.969, 0.417], [0.473, 0.674, 0.415], [0.335, 0.031, 0.583], [0.335, 0.031, 0.917], [0.473, 0.674, 0.085], [0.665, 0.969, 0.083], [0.527, 0.326, 0.585], [0.562, 0.314, 0.250], [0.438, 0.686, 0.750], [0.527, 0.326, 0.915]]}